(1)
Material: Tl2MoBr
Method: DFT, PBE
State: relaxed

Cell: 5.2530 5.2530 5.2530 Å, 60.00 60.00 60.00°
Element x y z (fractional)
Tl (0.0000, 0.0000, 0.0000)
Tl (0.2500, 0.2500, 0.2500)
Mo (0.5000, 0.5000, 0.5000)
Br (0.7500, 0.7500, 0.7500)

## Properties
E	-3.535	eV/atom
DOS(E_F)	1.9	states/eV/f.u.
energy relative to the elements, uncorrected	0.774	eV/atom
V	102.50	Å³/cell

(2)
Material: BaCuAs2
Method: DFT, PBE
State: relaxed

Cell: 5.1484 5.1484 5.1484 Å, 60.00 60.00 60.00°
Element x y z (fractional)
Ba (0.0000, 0.0000, 0.0000)
Cu (0.5000, 0.5000, 0.5000)
As (0.2500, 0.2500, 0.2500)
As (0.7500, 0.7500, 0.7500)

## Properties
E	-3.779	eV/atom
DOS(E_F)	3.1	states/eV/f.u.
V	96.49	Å³/cell
calculated formation energy	0.05	eV per atom

(3)
Material: ZnTe2Os
Method: DFT, PBE
State: relaxed

Cell: 8.0561 8.0561 8.0561 Å, 29.71 29.71 29.71°
Element x y z (fractional)
Zn (0.0000, 0.0000, 0.0000)
Te (0.1131, 0.1131, 0.1131)
Te (0.8869, 0.8869, 0.8869)
Os (0.5000, 0.5000, 0.5000)

## Properties
E	-4.445	eV/atom
DOS(E_F)	0.1	states/eV/f.u.
energy relative to the elements, uncorrected	0.251	eV/atom
V	113.68	Å³/cell

Which of these has the lowest V?
BaCuAs2